No. 1
First-principles (GGA-PBE) data for a geometry-optimized KGeP structure, as listed in the Alexandria database.

Lattice parameters (Å, degrees): 12.8567 4.9116 5.7546 90.00 107.86 90.00
With the nearest neighbours (Å) after each atom.
Space group C2/m (No. 12)
Asymmetric unit:
K  0.1090  0.0000  0.3780 x4  4 P 3.27-3.65, 2 Ge 3.46, 1 K 3.50
Ge  0.2500  0.2500  0.0000 x4  2 Ge 2.46, 2 P 2.72
P  0.0515  0.5000  0.8858 x4  1 P 2.13

Energy relative to the elements in eV/atom: -0.029
M_tot in μB/f.u.: 0.000

No. 2
First-principles (GGA-PBE) data for a geometry-optimized K3GeP structure, as listed in the Alexandria database.

Lattice parameters (Å, degrees): 11.3793 10.4807 8.0436 90.00 107.57 90.00
With the nearest neighbours (Å) after each atom.
Space group C2/m (No. 12)
Asymmetric unit:
K  0.0911  0.1984  0.3199 x8  1 P 3.21, 1 Ge 3.52
K  0.1960  0.5000  0.0330 x4  2 P 3.21-3.26, 1 Ge 3.28
Ge  0.1483  0.5000  0.6097 x4  2 P 2.36-2.40
P  0.0382  0.5000  0.3104 x4  2 Ge 2.36-2.40

Energy relative to the elements in eV/atom: -0.158
M_tot in μB/f.u.: 0.000
Offset from the most stable computed form in eV/f.u.: 0.00

No. 3
First-principles (GGA-PBE) data for a geometry-optimized K3Ge2P4 structure, as listed in the Alexandria database.

Lattice parameters (Å, degrees): 14.0227 3.6521 11.7828 90.00 125.50 90.00
With the nearest neighbours (Å) after each atom.
Space group C2/m (No. 12)
Asymmetric unit:
K  0.0000  0.0000  0.0000 x2  4 P 3.40, 2 K 3.65
K  0.1261  0.5000  0.6834 x4  7 P 3.21-3.56, 2 Ge 3.56
Ge  0.1746  0.5000  0.3522 x4  3 P 2.42-2.52
P  0.1162  0.0000  0.4341 x4  3 Ge 2.42-2.52
P  0.2044  0.5000  0.9992 x4  2 P 2.22

Energy relative to the elements in eV/atom: -0.249
M_tot in μB/f.u.: 0.000

No. 4
First-principles (GGA-PBE) data for a geometry-optimized KGeP structure, as listed in the Alexandria database.

Lattice parameters (Å, degrees): 3.7853 3.7853 6.2632 90.00 90.00 120.00
With the nearest neighbours (Å) after each atom.
Space group P3m1 (No. 156)
Asymmetric unit:
K  0.0000  0.0000  0.0000 x1  3 P 3.24, 3 Ge 3.50
Ge  0.3333  0.6667  0.5645 x1  3 P 2.47
P  0.6667  0.3333  0.3812 x1  3 Ge 2.47

Energy relative to the elements in eV/atom: -0.288
M_tot in μB/f.u.: 0.000

No. 5
First-principles (GGA-PBE) data for a geometry-optimized K3GeP structure, as listed in the Alexandria database.

Lattice parameters (Å, degrees): 6.2153 6.2153 6.2153 90.00 90.00 90.00
With the nearest neighbours (Å) after each atom.
Space group Pm-3m (No. 221)
Asymmetric unit:
K  0.0000  0.0000  0.5000 x3  2 P 3.11
Ge  0.5000  0.5000  0.5000 x1  12 K 4.39
P  0.0000  0.0000  0.0000 x1  6 K 3.11

Energy relative to the elements in eV/atom: 0.340
M_tot in μB/f.u.: 3.662
Offset from the most stable computed form in eV/f.u.: 2.49

No. 6
First-principles (GGA-PBE) data for a geometry-optimized K3GeP2 structure, as listed in the Alexandria database.

Lattice parameters (Å, degrees): 12.3357 4.6027 13.3956 90.00 90.00 90.00
With the nearest neighbours (Å) after each atom.
Space group Pnma (No. 62)
Asymmetric unit:
K  0.0790  0.2500  0.1075 x4  5 P 3.36-3.65, 1 Ge 3.53, 1 K 3.73
K  0.1233  0.7500  0.5580 x4  3 P 3.26-3.35, 3 Ge 3.49-3.50
K  0.1593  0.2500  0.8035 x4  4 P 3.23-3.35, 2 Ge 3.41
Ge  0.1472  0.2500  0.3634 x4  3 P 2.28-2.53
P  0.0781  0.7500  0.3178 x4  2 Ge 2.53
P  0.2057  0.7500  0.9669 x4  1 Ge 2.28

Energy relative to the elements in eV/atom: -0.267
M_tot in μB/f.u.: 0.000

No. 7
First-principles (GGA-PBE) data for a geometry-optimized KGeP structure, as listed in the Alexandria database.

Lattice parameters (Å, degrees): 13.2080 3.8206 7.4124 90.00 120.09 90.00
With the nearest neighbours (Å) after each atom.
Space group C2/m (No. 12)
Asymmetric unit:
K  0.0559  0.0000  0.3136 x4  5 P 3.36-3.67, 4 Ge 3.50-3.61, 1 K 3.73
Ge  0.1844  0.5000  0.0851 x4  3 P 2.46-2.52
P  0.1839  0.5000  0.7450 x4  3 Ge 2.46-2.52

Energy relative to the elements in eV/atom: -0.256
M_tot in μB/f.u.: 0.000

No. 8
First-principles (GGA-PBE) data for a geometry-optimized KGeP3 structure, as listed in the Alexandria database.

Lattice parameters (Å, degrees): 4.8977 4.8977 4.8977 90.00 90.00 90.00
With the nearest neighbours (Å) after each atom.
Space group Pm-3m (No. 221)
Asymmetric unit:
K  0.0000  0.0000  0.0000 x1  12 P 3.46
Ge  0.5000  0.5000  0.5000 x1  6 P 2.45
P  0.0000  0.5000  0.5000 x3  2 Ge 2.45

Energy relative to the elements in eV/atom: 0.593
M_tot in μB/f.u.: 0.000
Offset from the most stable computed form in eV/f.u.: 0.00

No. 9
First-principles (GGA-PBE) data for a geometry-optimized KGeP2Pt4 structure, as listed in the Alexandria database.

Lattice parameters (Å, degrees): 3.9842 3.9842 10.0991 90.00 90.00 90.00
With the nearest neighbours (Å) after each atom.
Space group P4/mmm (No. 123)
Asymmetric unit:
K  0.0000  0.0000  0.0000 x1  8 P 3.46, 8 Pt 3.86
Ge  0.0000  0.0000  0.5000 x1  8 Pt 2.65
P  0.5000  0.5000  0.1982 x2  4 Pt 2.38
Pt  0.0000  0.5000  0.3269 x4  2 P 2.38, 2 Ge 2.65

Energy relative to the elements in eV/atom: -0.508
M_tot in μB/f.u.: 0.000

No. 10
First-principles (GGA-PBE) data for a geometry-optimized KGePPt4 structure, as listed in the Alexandria database.

Lattice parameters (Å, degrees): 12.8548 7.2364 6.7349 90.00 99.04 90.00
With the nearest neighbours (Å) after each atom.
Space group C2/m (No. 12)
Asymmetric unit:
K  0.0007  0.0000  0.2692 x4  1 K 3.11, 2 Ge 3.24-3.29
Ge  0.2139  0.0000  0.0544 x4  6 Pt 2.43-2.64
P  0.0834  0.5000  0.2677 x4  4 Pt 2.23-2.34
Pt  0.0824  0.5000  0.8923 x4  1 P 2.23
Pt  0.1942  0.5000  0.5664 x4  1 P 2.27
Pt  0.2198  0.3010  0.2161 x8  1 P 2.34, 2 Ge 2.43-2.57

Energy relative to the elements in eV/atom: -0.289
M_tot in μB/f.u.: 0.000

No. 11
First-principles (GGA-PBE) data for a geometry-optimized K4Rb2GeP2 structure, as listed in the Alexandria database.

Lattice parameters (Å, degrees): 16.5798 13.2529 4.8798 90.00 90.14 90.00
With the nearest neighbours (Å) after each atom.
Space group C2/m (No. 12)
Asymmetric unit:
K  0.1305  0.1645  0.4969 x8  2 P 3.27
Rb  0.1526  0.5000  0.9984 x4  1 P 3.60
Ge  0.0000  0.0000  0.0000 x2  2 P 2.16
P  0.1305  0.0000  0.9971 x4  1 Ge 2.16

Energy relative to the elements in eV/atom: -0.068
M_tot in μB/f.u.: 0.000

No. 12
First-principles (GGA-PBE) data for a geometry-optimized K2Rb4GeP2 structure, as listed in the Alexandria database.

Lattice parameters (Å, degrees): 22.8150 9.6726 5.0130 90.00 90.20 90.00
With the nearest neighbours (Å) after each atom.
Space group C2/m (No. 12)
Asymmetric unit:
K  0.2435  0.0000  0.0017 x4  1 P 3.41
Rb  0.1019  0.2464  0.4941 x8  2 P 3.46-3.47
Ge  0.0000  0.0000  0.0000 x2  2 P 2.15
P  0.0941  0.0000  0.9935 x4  1 Ge 2.15

Energy relative to the elements in eV/atom: -0.077
M_tot in μB/f.u.: 0.022